Record 1
First-principles (GGA-PBE) data for a relaxed CrPd2Pb crystal, as listed in the Alexandria database.

The structure in CIF format:
```
data_CrPd2Pb
_symmetry_space_group_name_H-M 'P 1'
_symmetry_Int_Tables_number 1
_cell_length_a 3.948
_cell_length_b 3.948
_cell_length_c 9.736
_cell_angle_alpha 78.30
_cell_angle_beta 78.30
_cell_angle_gamma 90.00
loop_
_symmetry_equiv_pos_as_xyz
'x,y,z'
loop_
_atom_site_label
_atom_site_fract_x
_atom_site_fract_y
_atom_site_fract_z
Pb1 0.000 0.000 0.000
Pb2 0.750 0.250 0.500
Cr1 0.500 0.500 0.000
Cr2 0.250 0.750 0.500
Pd1 0.609 0.125 0.250
Pd2 0.141 0.625 0.250
Pd3 0.375 0.391 0.750
Pd4 0.875 0.859 0.750
```

Raw total energy: -5.388 eV per atom
Space-group type: I-42d, No. 122

Record 2
First-principles (GGA-PBE) data for a relaxed Cr2PdRhPb crystal, as listed in the Alexandria database.

The structure in CIF format:
```
data_Cr2PdRhPb
_symmetry_space_group_name_H-M 'P 1'
_symmetry_Int_Tables_number 1
_cell_length_a 4.626
_cell_length_b 5.084
_cell_length_c 4.626
_cell_angle_alpha 90.00
_cell_angle_beta 90.00
_cell_angle_gamma 90.00
loop_
_symmetry_equiv_pos_as_xyz
'x,y,z'
loop_
_atom_site_label
_atom_site_fract_x
_atom_site_fract_y
_atom_site_fract_z
Pb1 0.500 0.500 0.500
Cr1 0.000 0.000 0.500
Cr2 0.500 0.000 0.000
Rh1 0.000 0.000 0.000
Pd1 0.000 0.500 0.000
```

Raw total energy: -6.260 eV per atom
Space-group type: P4/mmm, No. 123

Sequential E_form output: 541, 839 meV/atom